{"formula": "NaYC2", "functional": "PBE", "state": "optimized geometry", "cell": [[-2.9691, -2.1596, 2.1848], [-4.1375, 0.9195, -0.5367], [-2.5564, -2.7598, -2.0250]], "species": ["Na", "Y", "C", "C"], "frac_coords": [[0.0000, 0.0000, 0.0000], [0.5000, 0.5000, 0.5000], [0.7500, 0.7500, 0.7500], [0.2500, 0.2500, 0.2500]], "spacegroup": "No. 225", "n_ef_per_ev_atom": 0.5335, "delta_e_f_ev_per_atom": 1.154}